# 1
KScAu: optimized geometry, GGA-PBE.

Calculated values
total DFT energy (no corrections)	-2.780	eV/atom
volume	29.7	Å³ per atom

a b c (Å): 5.014 5.014 5.014
angles (deg): 60.00 60.00 60.00
Atoms (fractional coordinates):
K1 0.000 0.000 0.000
Sc1 0.250 0.250 0.250
Au1 0.750 0.750 0.750

---

# 2
KAu3Se5: optimized geometry, GGA-PBE.

Calculated values
total DFT energy (no corrections)	-3.235	eV/atom
volume	29.5	Å³ per atom

a b c (Å): 6.827 6.827 6.584
angles (deg): 90.00 90.00 120.00
Atoms (fractional coordinates):
K1 0.000 0.000 0.000
Au1 0.000 0.500 0.500
Au2 0.500 0.000 0.500
Au3 0.500 0.500 0.500
Se1 0.000 0.000 0.500
Se2 0.333 0.667 0.250
Se3 0.333 0.667 0.750
Se4 0.667 0.333 0.250
Se5 0.667 0.333 0.750

---

# 3
K2AuSe2: optimized geometry, GGA-PBE.

Calculated values
total DFT energy (no corrections)	-3.235	eV/atom
volume	31.5	Å³ per atom

a b c (Å): 6.304 6.304 6.744
angles (deg): 102.22 102.22 37.09
Atoms (fractional coordinates):
K1 0.160 0.160 0.223
K2 0.840 0.840 0.777
Au1 0.500 0.500 0.500
Se1 0.111 0.111 0.714
Se2 0.889 0.889 0.286

---

# 4
K3AuSe: optimized geometry, GGA-PBE.

Calculated values
total DFT energy (no corrections)	-2.652	eV/atom
volume	47.9	Å³ per atom

a b c (Å): 6.211 6.211 6.211
angles (deg): 90.00 90.00 90.00
Atoms (fractional coordinates):
K1 0.000 0.000 0.500
K2 0.000 0.500 0.000
K3 0.500 0.000 0.000
Au1 0.500 0.500 0.500
Se1 0.000 0.000 0.000

---

# 5
K3AuSe13: optimized geometry, GGA-PBE.

Calculated values
total DFT energy (no corrections)	-3.450	eV/atom
volume	31.6	Å³ per atom

a b c (Å): 15.298 5.087 13.835
angles (deg): 90.00 94.46 90.00
Atoms (fractional coordinates):
K1 0.000 0.162 0.250
K2 0.000 0.838 0.750
K3 0.277 0.199 0.163
K4 0.277 0.801 0.663
K5 0.723 0.199 0.337
K6 0.723 0.801 0.837
Au1 0.500 0.000 0.000
Au2 0.500 0.000 0.500
Se1 0.072 0.320 0.580
Se2 0.072 0.680 0.080
Se3 0.149 0.077 0.465
Se4 0.149 0.923 0.965
Se5 0.151 0.310 0.734
Se6 0.151 0.690 0.234
Se7 0.268 0.357 0.423
Se8 0.268 0.643 0.923
Se9 0.380 0.300 0.551
Se10 0.380 0.700 0.051
Se11 0.412 0.098 0.842
Se12 0.412 0.902 0.342
Se13 0.500 0.374 0.750
Se14 0.500 0.626 0.250
Se15 0.588 0.098 0.658
Se16 0.588 0.902 0.158
Se17 0.620 0.300 0.949
Se18 0.620 0.700 0.449
Se19 0.732 0.357 0.077
Se20 0.732 0.643 0.577
Se21 0.849 0.310 0.766
Se22 0.849 0.690 0.266
Se23 0.851 0.077 0.035
Se24 0.851 0.923 0.535
Se25 0.928 0.320 0.920
Se26 0.928 0.680 0.420

---

# 6
KSiTe2AuSe: optimized geometry, GGA-PBE.

Calculated values
total DFT energy (no corrections)	-3.465	eV/atom
volume	28.8	Å³ per atom

a b c (Å): 8.624 8.624 10.780
angles (deg): 90.00 90.00 154.44
Atoms (fractional coordinates):
K1 0.229 0.771 0.750
K2 0.771 0.229 0.250
Si1 0.500 0.500 0.000
Si2 0.500 0.500 0.500
Te1 0.117 0.883 0.010
Te2 0.117 0.883 0.490
Te3 0.883 0.117 0.510
Te4 0.883 0.117 0.990
Au1 0.109 0.891 0.250
Au2 0.891 0.109 0.750
Se1 0.466 0.534 0.250
Se2 0.534 0.466 0.750